Entry 1:
Sr2HgSb: optimized geometry, PBE-GGA.

abc: 3.883 7.156 12.798
angles: 90.00 90.00 90.00
Space group Immm (No. 71)
Unique sites:
Sr 0.000 0.000 0.249 (multiplicity 4)
Hg 0.000 0.000 0.000 (multiplicity 2)
Sb 0.000 0.000 0.500 (multiplicity 2)

VASP energy = -14.7 eV per cell
Density = 4.6 g/cm³

Entry 2:
Tb15Ho4Mg: optimized geometry, PBE-GGA.

abc: 5.000 5.000 25.058
angles: 90.00 90.00 90.00
Space group P4/mmm (No. 123)
Unique sites:
Tb 0.000 0.000 0.000 (multiplicity 1)
Tb 0.000 0.000 0.197 (multiplicity 2)
Tb 0.000 0.000 0.399 (multiplicity 2)
Tb 0.000 0.500 0.098 (multiplicity 4)
Tb 0.000 0.500 0.299 (multiplicity 4)
Tb 0.000 0.500 0.500 (multiplicity 2)
Ho 0.500 0.500 0.198 (multiplicity 2)
Ho 0.500 0.500 0.399 (multiplicity 2)
Mg 0.500 0.500 0.000 (multiplicity 1)

Formation energy = 31 kJ/mol of formula units
VASP energy = -89.0 eV per cell
Density = 8.1 g/cm³

Entry 3:
VTe2: optimized geometry, PBE-GGA.

abc: 14.762 3.576 9.368
angles: 90.00 112.51 90.00
Space group C2/m (No. 12)
Unique sites:
V 0.000 0.000 0.000 (multiplicity 2)
V 0.138 0.500 0.291 (multiplicity 4)
Te 0.009 0.000 0.301 (multiplicity 4)
Te 0.144 0.500 0.021 (multiplicity 4)
Te 0.209 0.500 0.615 (multiplicity 4)

VASP energy = -98.2 eV per cell
Density = 6.7 g/cm³